Density functional theory data (PBE) for a relaxed structure of Tb7Pr2Er3.

E	-4.551	eV per atom
offset from the most stable computed form	0.31	kcal/mol of atoms

Unit cell a=5.794 b=3.597 c=18.816 alpha=90.00 beta=93.74 gamma=90.00
Space group P2/m (No. 10)
Inequivalent atoms, fractional coordinates:
Tb (0.000, 0.000, 0.000) x1
Tb (0.180, 0.500, 0.175) x2
Tb (0.258, 0.500, 0.537) x2
Tb (0.322, 0.000, 0.859) x2
Pr (0.295, 0.500, 0.705) x2
Er (0.220, 0.000, 0.371) x2
Er (0.500, 0.500, 0.000) x1

***

Density functional theory data (PBE) for a relaxed structure of Tb7PrEr2.

E	-3.945	eV per atom
offset from the most stable computed form	15.42	kcal/mol of atoms

Unit cell a=8.785 b=15.948 c=5.669 alpha=90.00 beta=90.00 gamma=90.00
Space group Cmmm (No. 65)
Inequivalent atoms, fractional coordinates:
Tb (0.000, 0.000, 0.000) x2
Tb (0.000, 0.278, 0.500) x4
Tb (0.177, 0.383, 0.000) x8
Pr (0.000, 0.500, 0.500) x2
Er (0.000, 0.204, 0.000) x4

***

Density functional theory data (PBE) for a relaxed structure of TbPr7Er12.

E	-3.998	eV per atom
offset from the most stable computed form	9.60	kcal/mol of atoms

Unit cell a=11.287 b=11.287 c=11.287 alpha=90.00 beta=90.00 gamma=90.00
Space group Im-3m (No. 229)
Inequivalent atoms, fractional coordinates:
Tb (0.000, 0.000, 0.000) x2
Pr (0.000, 0.000, 0.500) x6
Pr (0.250, 0.250, 0.250) x8
Er (0.000, 0.247, 0.247) x24

***

Density functional theory data (PBE) for a relaxed structure of Tb3PrEr5.

E	-4.273	eV per atom
offset from the most stable computed form	0.00	kcal/mol of atoms

Unit cell a=19.171 b=5.998 c=11.302 alpha=90.00 beta=113.69 gamma=90.00
Space group C2/c (No. 15)
Inequivalent atoms, fractional coordinates:
Tb (0.000, 0.000, 0.000) x4
Tb (0.179, 0.235, 0.362) x8
Pr (0.000, 0.101, 0.250) x4
Er (0.000, 0.406, 0.750) x4
Er (0.162, 0.258, 0.694) x8
Er (0.171, 0.251, 0.030) x8

***

Density functional theory data (PBE) for a relaxed structure of Tb8Pr3Er3.

E	-4.544	eV per atom

Unit cell a=5.680 b=10.837 c=15.074 alpha=90.00 beta=90.00 gamma=90.00
Space group Immm (No. 71)
Inequivalent atoms, fractional coordinates:
Tb (0.000, 0.159, 0.102) x8
Tb (0.000, 0.340, 0.280) x8
Pr (0.000, 0.000, 0.318) x4
Pr (0.000, 0.500, 0.000) x2
Er (0.000, 0.205, 0.500) x4
Er (0.000, 0.500, 0.500) x2

***

Density functional theory data (PBE) for a relaxed structure of Tb5PrEr4.

E	-4.315	eV per atom

Unit cell a=10.176 b=10.176 c=6.305 alpha=90.00 beta=90.00 gamma=90.00
Space group I4 (No. 79)
Inequivalent atoms, fractional coordinates:
Tb (0.000, 0.000, 0.000) x2
Tb (0.145, 0.235, 0.728) x8
Pr (0.000, 0.000, 0.456) x2
Er (0.051, 0.350, 0.225) x8

***

Density functional theory data (PBE) for a relaxed structure of Tb3PrEr6.

E	-4.313	eV per atom
offset from the most stable computed form	3.76	kcal/mol of atoms

Unit cell a=9.8049 b=9.8049 c=11.5874 alpha=90.00 beta=90.00 gamma=120.00
Space group R32 (No. 155, hexagonal axes)
Inequivalent atoms, fractional coordinates:
Tb (0.0000, 0.0000, 0.0000) x3
Tb (0.0000, 0.0000, 0.2469) x6
Pr (0.0000, 0.0000, 0.5000) x3
Er (0.0000, 0.3317, 0.5000) x9
Er (0.0000, 0.6715, 0.0000) x9

***

Density functional theory data (PBE) for a relaxed structure of Tb8Pr6Er.

E	-4.571	eV per atom

Unit cell a=9.1812 b=9.1812 c=21.0028 alpha=90.00 beta=90.00 gamma=120.00
Space group R-3 (No. 148, hexagonal axes)
Inequivalent atoms, fractional coordinates:
Tb (0.0000, 0.0000, 0.0769) x6
Tb (0.0810, 0.5576, 0.3066) x18
Pr (0.0592, 0.2486, 0.2103) x18
Er (0.0000, 0.0000, 0.5000) x3

***

Density functional theory data (PBE) for a relaxed structure of Tb3Pr2Er4.

E	-4.538	eV per atom
offset from the most stable computed form	1.75	kcal/mol of atoms

Unit cell a=16.379 b=11.604 c=6.133 alpha=90.00 beta=96.37 gamma=90.00
Space group C2/c (No. 15)
Inequivalent atoms, fractional coordinates:
Tb (0.000, 0.099, 0.250) x4
Tb (0.164, 0.402, 0.101) x8
Pr (0.124, 0.144, 0.822) x8
Er (0.046, 0.361, 0.517) x8
Er (0.218, 0.138, 0.349) x8

***

Density functional theory data (PBE) for a relaxed structure of Tb5PrEr2.

E	-4.615	eV per atom
offset from the most stable computed form	0.00	kcal/mol of atoms

Unit cell a=7.139 b=14.281 c=5.029 alpha=90.00 beta=90.00 gamma=90.00
Space group Pbam (No. 55)
Inequivalent atoms, fractional coordinates:
Tb (0.000, 0.000, 0.000) x2
Tb (0.001, 0.249, 0.000) x4
Tb (0.248, 0.874, 0.500) x4
Pr (0.000, 0.500, 0.000) x2
Er (0.250, 0.126, 0.500) x4

***

Density functional theory data (PBE) for a relaxed structure of Tb2PrEr7.

E	-3.891	eV per atom
offset from the most stable computed form	15.84	kcal/mol of atoms

Unit cell a=8.664 b=16.170 c=5.552 alpha=90.00 beta=90.00 gamma=90.00
Space group Cmmm (No. 65)
Inequivalent atoms, fractional coordinates:
Tb (0.000, 0.203, 0.000) x4
Pr (0.000, 0.500, 0.500) x2
Er (0.000, 0.000, 0.000) x2
Er (0.000, 0.286, 0.500) x4
Er (0.176, 0.385, 0.000) x8

***

Density functional theory data (PBE) for a relaxed structure of TbPr5Er3.

E	-4.419	eV per atom
offset from the most stable computed form	0.00	kcal/mol of atoms

Unit cell a=20.244 b=6.336 c=11.756 alpha=90.00 beta=122.86 gamma=90.00
Space group C2/c (No. 15)
Inequivalent atoms, fractional coordinates:
Tb (0.000, 0.106, 0.250) x4
Pr (0.000, 0.405, 0.750) x4
Pr (0.139, 0.326, 0.161) x8
Pr (0.180, 0.177, 0.831) x8
Er (0.000, 0.000, 0.000) x4
Er (0.175, 0.224, 0.525) x8

***

Density functional theory data (PBE) for a relaxed structure of TbPr12Er6.

E	-4.685	eV per atom
offset from the most stable computed form	0.00	kcal/mol of atoms

Unit cell a=15.8608 b=15.8608 c=8.9325 alpha=90.00 beta=90.00 gamma=120.00
Space group R-3 (No. 148, hexagonal axes)
Inequivalent atoms, fractional coordinates:
Tb (0.0000, 0.0000, 0.0000) x3
Pr (0.0355, 0.2790, 0.3368) x18
Pr (0.0712, 0.5620, 0.6662) x18
Er (0.0169, 0.1367, 0.6652) x18

***

Density functional theory data (PBE) for a relaxed structure of Tb2Pr2Er5.

E	-4.414	eV per atom
offset from the most stable computed form	0.00	kcal/mol of atoms

Unit cell a=14.925 b=11.829 c=6.705 alpha=90.00 beta=90.00 gamma=90.00
Space group Ima2 (No. 46)
Inequivalent atoms, fractional coordinates:
Tb (0.127, 0.005, 0.000) x8
Pr (0.000, 0.000, 0.451) x4
Pr (0.250, 0.510, 0.049) x4
Er (0.053, 0.242, 0.649) x8
Er (0.142, 0.736, 0.841) x8
Er (0.250, 0.247, 0.845) x4

***

Density functional theory data (PBE) for a relaxed structure of Tb7PrEr12.

E	-3.893	eV per atom
offset from the most stable computed form	9.18	kcal/mol of atoms

Unit cell a=11.189 b=11.189 c=11.189 alpha=90.00 beta=90.00 gamma=90.00
Space group Im-3m (No. 229)
Inequivalent atoms, fractional coordinates:
Tb (0.000, 0.000, 0.500) x6
Tb (0.250, 0.250, 0.250) x8
Pr (0.000, 0.000, 0.000) x2
Er (0.000, 0.254, 0.254) x24

***

Density functional theory data (PBE) for a relaxed structure of Tb7PrEr2.

E	-4.613	eV per atom
offset from the most stable computed form	0.00	kcal/mol of atoms

Unit cell a=6.169 b=6.171 c=9.432 alpha=109.03 beta=102.60 gamma=99.65
Space group P-1 (No. 2)
Inequivalent atoms, fractional coordinates:
Tb (0.000, 0.000, 0.000) x1
Tb (0.102, 0.202, 0.702) x2
Tb (0.198, 0.399, 0.399) x2
Tb (0.300, 0.601, 0.099) x2
Pr (0.500, 0.000, 0.500) x1
Er (0.401, 0.799, 0.802) x2

***

Density functional theory data (PBE) for a relaxed structure of TbPr12Er6.

E	-4.576	eV per atom
offset from the most stable computed form	2.51	kcal/mol of atoms

Unit cell a=12.2089 b=12.2089 c=15.3977 alpha=90.00 beta=90.00 gamma=120.00
Space group R-3 (No. 148, hexagonal axes)
Inequivalent atoms, fractional coordinates:
Tb (0.0000, 0.0000, 0.0000) x3
Pr (0.0005, 0.8274, 0.1917) x18
Pr (0.0483, 0.8492, 0.4161) x18
Er (0.0177, 0.4298, 0.6881) x18

***

Density functional theory data (PBE) for a relaxed structure of TbPr2Er8.

E	-4.448	eV per atom

Unit cell a=9.032 b=15.971 c=5.881 alpha=90.00 beta=122.98 gamma=90.00
Space group C2/m (No. 12)
Inequivalent atoms, fractional coordinates:
Tb (0.000, 0.000, 0.000) x2
Pr (0.000, 0.306, 0.500) x4
Er (0.000, 0.208, 0.000) x4
Er (0.071, 0.500, 0.797) x4
Er (0.214, 0.115, 0.672) x8

***

no.,ΔH_f (0 K) (eV per atom),density of states at the Fermi level (states/eV/atom)
1,0.09,1.2151
2,0.69,1.3780
3,0.64,1.4316
4,0.34,1.5629
5,0.10,1.5631
6,0.30,1.4459
7,0.29,2.0310
8,0.11,1.4470
9,0.10,1.3773
10,0.02,1.2839
11,0.71,1.4677
12,0.27,1.4155
13,0.02,1.4163
14,0.21,1.5462
15,0.70,1.2464
16,0.02,1.3885
17,0.13,1.6917
18,0.16,1.3150